No. 1
Here is a crystal of YCuGe relaxed with PBEsol from the Alexandria database. Energies are from SCAN.

ΔE_f (meV per atom): -767

abc: 4.1442 4.1442 3.7248
angles: 90.00 90.00 120.00
Space group P-6m2 (No. 187)
One atom of each set of equivalent atoms:
1 Y 0.0000 0.0000 0.0000 [1 per cell]
2 Cu 0.6667 0.3333 0.5000 [1 per cell]
3 Ge 0.3333 0.6667 0.5000 [1 per cell]

No. 2
Here is a crystal of AlSb relaxed with PBEsol from the Alexandria database. Energies are from SCAN.

Raw formation energy (eV/atom): 0.21

abc: 3.3580 3.3580 28.1324
angles: 90.00 90.00 120.00
Space group R-3m (No. 166, hexagonal axes)
One atom of each set of equivalent atoms:
1 Al 0.0000 0.0000 0.1320 [6 per cell]
2 Sb 0.0000 0.0000 0.3903 [6 per cell]

No. 3
Here is a crystal of Cu2TcNiP relaxed with PBEsol from the Alexandria database. Energies are from SCAN.

ΔE_f (meV per atom): 615

abc: 4.181 4.181 4.064
angles: 90.00 90.00 90.00
Space group P4/mmm (No. 123)
One atom of each set of equivalent atoms:
1 Cu 0.000 0.500 0.000 [2 per cell]
2 Tc 0.000 0.000 0.500 [1 per cell]
3 Ni 0.500 0.500 0.500 [1 per cell]
4 P 0.500 0.500 0.000 [1 per cell]

No. 4
Here is a crystal of MnNb3S6 relaxed with PBEsol from the Alexandria database. Energies are from SCAN.

Raw formation energy (eV/atom): -1.26

abc: 5.7538 5.7538 12.0126
angles: 90.00 90.00 120.00
Space group P6_322 (No. 182)
One atom of each set of equivalent atoms:
1 Mn 0.3333 0.6667 0.2500 [2 per cell]
2 Nb 0.0000 0.0000 0.0000 [2 per cell]
3 Nb 0.3333 0.6667 0.5010 [4 per cell]
4 S 0.0032 0.3327 0.6305 [12 per cell]

No. 5
Here is a crystal of SrTlCr2Au relaxed with PBEsol from the Alexandria database. Energies are from SCAN.

ΔE_f (meV per atom): 657

abc: 5.067 5.067 6.106
angles: 90.00 90.00 90.00
Space group P4/mmm (No. 123)
One atom of each set of equivalent atoms:
1 Sr 0.000 0.000 0.000 [1 per cell]
2 Tl 0.000 0.000 0.500 [1 per cell]
3 Cr 0.000 0.500 0.500 [2 per cell]
4 Au 0.500 0.500 0.000 [1 per cell]

No. 6
Here is a crystal of LiIn3 relaxed with PBEsol from the Alexandria database. Energies are from SCAN.

ΔE_f (meV per atom): -140

abc: 3.378 5.110 5.354
angles: 90.00 90.00 90.00
Space group Pmm2 (No. 25)
One atom of each set of equivalent atoms:
1 Li 0.000 0.000 0.000 [1 per cell]
2 In 0.000 0.500 0.676 [1 per cell]
3 In 0.500 0.000 0.498 [1 per cell]
4 In 0.500 0.500 0.163 [1 per cell]

No. 7
Here is a crystal of CsSrSbTe2 relaxed with PBEsol from the Alexandria database. Energies are from SCAN.

Raw formation energy (eV/atom): 0.36

abc: 6.130 6.130 5.922
angles: 90.00 90.00 90.00
Space group P4/mmm (No. 123)
One atom of each set of equivalent atoms:
1 Cs 0.000 0.000 0.000 [1 per cell]
2 Sr 0.500 0.500 0.500 [1 per cell]
3 Sb 0.000 0.000 0.500 [1 per cell]
4 Te 0.000 0.500 0.000 [2 per cell]

No. 8
Here is a crystal of TaInHCl2 relaxed with PBEsol from the Alexandria database. Energies are from SCAN.

VASP energy (eV/atom): -23.754

abc: 4.606 4.606 5.709
angles: 90.00 90.00 90.00
Space group P4/mmm (No. 123)
One atom of each set of equivalent atoms:
1 Ta 0.000 0.000 0.000 [1 per cell]
2 In 0.000 0.000 0.500 [1 per cell]
3 H 0.500 0.500 0.500 [1 per cell]
4 Cl 0.000 0.500 0.000 [2 per cell]

No. 9
Here is a crystal of Rb2Cd2In relaxed with PBEsol from the Alexandria database. Energies are from SCAN.

ΔE_f (meV per atom): -56

abc: 7.656 7.656 5.982
angles: 90.00 90.00 90.00
Space group P4/mbm (No. 127)
One atom of each set of equivalent atoms:
1 Rb 0.179 0.321 0.000 [4 per cell]
2 Cd 0.136 0.636 0.500 [4 per cell]
3 In 0.000 0.000 0.500 [2 per cell]

No. 10
Here is a crystal of K2RbAu relaxed with PBEsol from the Alexandria database. Energies are from SCAN.

ΔE_f (meV per atom): -157

abc: 11.098 11.098 6.918
angles: 90.00 90.00 90.00
Space group I-42d (No. 122)
One atom of each set of equivalent atoms:
1 K 0.132 0.250 0.125 [8 per cell]
2 Rb 0.000 0.000 0.500 [4 per cell]
3 Au 0.000 0.000 0.000 [4 per cell]

No. 11
Here is a crystal of NiCl5 relaxed with PBEsol from the Alexandria database. Energies are from SCAN.

Raw formation energy (eV/atom): 0.26

abc: 2.807 2.807 16.278
angles: 90.00 90.00 90.00
Space group P4/mmm (No. 123)
One atom of each set of equivalent atoms:
1 Ni 0.000 0.000 0.000 [1 per cell]
2 Cl 0.000 0.000 0.286 [2 per cell]
3 Cl 0.500 0.500 0.092 [2 per cell]
4 Cl 0.500 0.500 0.500 [1 per cell]

No. 12
Here is a crystal of TeW4 relaxed with PBEsol from the Alexandria database. Energies are from SCAN.

Offset from the most stable computed form (meV per atom): 1372
Raw formation energy (eV/atom): 2.29

abc: 5.889 5.889 5.889
angles: 90.00 90.00 90.00
Space group Im-3m (No. 229)
One atom of each set of equivalent atoms:
1 Te 0.000 0.000 0.000 [2 per cell]
2 W 0.250 0.250 0.250 [8 per cell]

What did the eleventh record say?
Here is a crystal of NiCl5 relaxed with PBEsol from the Alexandria database. Energies are from SCAN.

Raw formation energy (eV/atom): 0.26

abc: 2.807 2.807 16.278
angles: 90.00 90.00 90.00
Space group P4/mmm (No. 123)
One atom of each set of equivalent atoms:
1 Ni 0.000 0.000 0.000 [1 per cell]
2 Cl 0.000 0.000 0.286 [2 per cell]
3 Cl 0.500 0.500 0.092 [2 per cell]
4 Cl 0.500 0.500 0.500 [1 per cell]

- What is the formula in the tenth record?
  K2RbAu